BaTiTl2Sb | Alexandria via LeMat-Bulk | PBE-GGA | optimized geometry; calculated total energy = -4.04 eV/atom; space-group type = P4/mmm (123)
1.0
-4.6551 -2.0171 2.0632
2.3504 -4.9225 0.4905
1.6338 1.2714 4.9294
Sb Tl Ba Ti
1 2 1 1
direct
0.0000 0.0000 0.5000
0.0000 0.5000 0.0000
0.5000 0.0000 0.0000
0.5000 0.5000 0.5000
0.0000 0.0000 0.0000